Computed, not measured: a relaxed HoNpVO6 crystal at the GGA+U level of DFT.

```
HoNpVO6
1.0
5.571 0.000 0.000
-2.785 4.824 0.000
0.000 0.000 8.779
O V Np Ho
12 2 2 2
Cartesian
1.809 0.123 1.102 O
-1.774 3.319 7.677 O
1.011 1.505 3.288 O
1.988 3.196 1.102 O
1.774 3.319 5.492 O
0.976 4.701 7.677 O
4.559 1.505 1.102 O
0.798 1.628 7.677 O
-0.798 1.628 5.492 O
3.583 3.196 3.288 O
-0.976 4.701 5.492 O
3.762 0.123 3.288 O
0.000 0.000 4.390 V
0.000 0.000 0.000 V
0.000 3.216 6.584 Np
2.785 1.608 2.195 Np
0.000 3.216 2.195 Ho
2.785 1.608 6.584 Ho
```

Calculated values
E_tot = -157.2 eV for the cell shown
Density = 7.726 Mg/m³
Crystal system = trigonal